No. 1
# Pr3DyF | Alexandria | PBE-GGA | relaxed
data_Pr3DyF
_chemical_formula_sum 'Pr3 Dy1 F1'
_cell_length_a 5.2154
_cell_length_b 5.2154
_cell_length_c 5.2154
_cell_angle_alpha 90.00
_cell_angle_beta 90.00
_cell_angle_gamma 90.00
_symmetry_space_group_name_H-M 'P m -3 m'
_symmetry_Int_Tables_number 221
_symmetry_space_group_name_Hall '-P 4 2 3'
loop_
_atom_site_label
_atom_site_fract_x
_atom_site_fract_y
_atom_site_fract_z
Pr1 0.0000 0.0000 0.5000
Dy1 0.5000 0.5000 0.5000
F1 0.0000 0.0000 0.0000
# formation energy from raw total energies = -982 meV per atom
# Fermi-level density of states = 1.03 states/eV/atom

=====

No. 2
# Mg2CdAg2 | Alexandria | PBE-GGA | relaxed
data_Mg2CdAg2
_chemical_formula_sum 'Mg4 Cd2 Ag4'
_cell_length_a 3.8636
_cell_length_b 3.8636
_cell_length_c 14.6557
_cell_angle_alpha 90.00
_cell_angle_beta 90.00
_cell_angle_gamma 90.00
_symmetry_space_group_name_H-M 'I 4/m m m'
_symmetry_Int_Tables_number 139
_symmetry_space_group_name_Hall '-I 4 2'
loop_
_atom_site_label
_atom_site_fract_x
_atom_site_fract_y
_atom_site_fract_z
Mg1 0.0000 0.0000 0.1041
Cd1 0.0000 0.0000 0.5000
Ag1 0.0000 0.5000 0.2500
# E above lowest polymorph = 174 meV/atom
# Fermi-level density of states = 0.41 states/eV/atom
# calculated formation energy = 0.011 eV per atom

=====

No. 3
# Hf2InPd4 | Alexandria | PBE-GGA | relaxed
data_Hf2InPd4
_chemical_formula_sum 'Hf6 In3 Pd12'
_cell_length_a 4.6916
_cell_length_b 4.6916
_cell_length_c 19.8939
_cell_angle_alpha 90.00
_cell_angle_beta 90.00
_cell_angle_gamma 120.00
_symmetry_space_group_name_H-M 'R -3 m'
_symmetry_Int_Tables_number 166
_symmetry_space_group_name_Hall '-R 3 2"'
loop_
_atom_site_label
_atom_site_fract_x
_atom_site_fract_y
_atom_site_fract_z
Hf1 0.0000 0.0000 0.2318
In1 0.0000 0.0000 0.5000
Pd1 0.0000 0.0000 0.0867
Pd2 0.0000 0.0000 0.3635
# E above lowest polymorph = 34 meV/atom
# Fermi-level density of states = 0.45 states/eV/atom
# calculated formation energy = -0.556 eV per atom

=====

No. 4
# LiSc2Ti | Alexandria | PBE-GGA | relaxed
data_LiSc2Ti
_chemical_formula_sum 'Li1 Sc2 Ti1'
_cell_length_a 3.1236
_cell_length_b 3.1236
_cell_length_c 8.7669
_cell_angle_alpha 90.00
_cell_angle_beta 90.00
_cell_angle_gamma 90.00
_symmetry_space_group_name_H-M 'P 4/m m m'
_symmetry_Int_Tables_number 123
_symmetry_space_group_name_Hall '-P 4 2'
loop_
_atom_site_label
_atom_site_fract_x
_atom_site_fract_y
_atom_site_fract_z
Li1 0.0000 0.0000 0.0000
Sc1 0.5000 0.5000 0.2691
Ti1 0.0000 0.0000 0.5000
# Fermi-level density of states = 1.19 states/eV/atom
# calculated formation energy = 0.103 eV per atom

=====

no.,uncorrected energy (eV/atom)
1,-5.14
2,-1.95
3,-6.76
4,-5.51